Density functional theory data (SCAN) for a PBEsol-optimized structure of Be2TeOs.

Output
ΔE_f (raw)   101 meV per atom
Total magnetic moment   0.00 μB per formula unit

Cell and atoms, written as CIF:
```
data_Be2TeOs
_chemical_formula_sum 'Be4 Te2 Os2'
_space_group_name_H-M_alt 'C 1 m 1'
_space_group_IT_number 8
_cell_length_a 7.601
_cell_length_b 3.058
_cell_length_c 5.507
_cell_angle_alpha 90.00
_cell_angle_beta 93.30
_cell_angle_gamma 90.00
loop_
_space_group_symop_operation_xyz
'x,y,z'
'x,-y,z'
'x+1/2,y+1/2,z'
'x+1/2,-y+1/2,z'
loop_
_atom_site_label
_atom_site_type_symbol
_atom_site_fract_x
_atom_site_fract_y
_atom_site_fract_z
_atom_site_occupancy
Be1 Be 0.000 0.000 0.000 1
Be2 Be 0.198 0.500 0.858 1
Te1 Te 0.103 0.500 0.421 1
Os1 Os 0.293 0.000 0.138 1
```